# 1
A plane-wave DFT calculation with PBE was carried out for a relaxed structure of K2Pa3PdO12.

Summary:
Space group = No. 166

Lattice parameters (Å, degrees): 7.7481 7.7481 7.7481 62.67 62.67 62.67
Closest atoms and distances in Å follow each position.
Fractional coordinates of all 18 atoms:
O 0.2961 0.9402 0.9402  1 Pd 1.98, 1 Pa 2.11
Pd 0.0000 0.0000 0.0000  6 O 1.98
Pa 0.0000 0.0000 0.5000  6 O 2.11-2.17
K 0.3388 0.3388 0.3388  6 O 3.11-3.23
O 0.0598 0.0598 0.7039  1 Pd 1.98, 1 Pa 2.11
O 0.9402 0.9402 0.2961  1 Pd 1.98, 1 Pa 2.11
O 0.0598 0.7039 0.0598  1 Pd 1.98, 1 Pa 2.11
O 0.6786 0.6786 0.0455  2 Pa 2.17
O 0.0455 0.6786 0.6786  2 Pa 2.17
Pa 0.0000 0.5000 0.0000  6 O 2.11-2.17
O 0.6786 0.0455 0.6786  2 Pa 2.17
K 0.6612 0.6612 0.6612  6 O 3.11-3.23
O 0.9402 0.2961 0.9402  1 Pd 1.98, 1 Pa 2.11
O 0.9545 0.3214 0.3214  2 Pa 2.17
O 0.3214 0.9545 0.3214  2 Pa 2.17
O 0.7039 0.0598 0.0598  1 Pd 1.98, 1 Pa 2.11
Pa 0.5000 0.0000 0.0000  6 O 2.11-2.17
O 0.3214 0.3214 0.9545  2 Pa 2.17


# 2
A plane-wave DFT calculation with PBE was carried out for a relaxed structure of La3FeSi.

Summary:
Space group = No. 221

Lattice parameters (Å, degrees): 5.1574 5.1574 5.1574 90.00 90.00 90.00
Closest atoms and distances in Å follow each position.
Fractional coordinates of all 5 atoms:
La 0.0000 0.0000 0.5000  2 Fe 2.58
La 0.0000 0.5000 0.0000  2 Fe 2.58
Fe 0.0000 0.0000 0.0000  6 La 2.58
Si 0.5000 0.5000 0.5000  12 La 3.65
La 0.5000 0.0000 0.0000  2 Fe 2.58


# 3
A plane-wave DFT calculation with PBE was carried out for a relaxed structure of Cs3RbAu.

Summary:
Energy relative to the lowest polymorph listed for this composition = 0.0208 eV/atom
Formation energy = -0.13 eV/atom
Space group = No. 11

Lattice parameters (Å, degrees): 5.4277 9.5840 14.8180 90.00 90.04 90.00
Closest atoms and distances in Å follow each position.
Fractional coordinates of all 10 atoms:
Cs 0.2498 0.5045 0.8806  3 Au 3.68-3.86
Cs 0.7470 0.2500 0.6547  1 Au 3.83
Rb 0.7536 0.7500 0.6242  8 Cs 4.81-5.24
Au 0.7497 0.2500 0.9129  7 Cs 3.68-3.86
Rb 0.2464 0.2500 0.3758  8 Cs 4.81-5.24
Cs 0.2498 0.9955 0.8806  3 Au 3.68-3.86
Cs 0.2530 0.7500 0.3453  1 Au 3.83
Au 0.2503 0.7500 0.0871  7 Cs 3.68-3.86
Cs 0.7502 0.4955 0.1194  3 Au 3.68-3.86
Cs 0.7502 0.0045 0.1194  3 Au 3.68-3.86


# 4
A plane-wave DFT calculation with PBE was carried out for a relaxed structure of Ho8Al2In.

Summary:
Energy relative to the lowest polymorph listed for this composition = 0.0460 eV/atom
Formation energy = -0.18 eV/atom
Space group = No. 71

Lattice parameters (Å, degrees): 4.9739 8.3432 8.7640 118.42 106.49 90.00
Closest atoms and distances in Å follow each position.
Fractional coordinates of all 11 atoms:
Ho 0.0000 0.6896 0.0000  7 Ho 3.16-3.42, 2 Al 3.24
Ho 0.3397 0.1253 0.6793  3 Al 3.10-3.20, 1 In 3.34, 5 Ho 3.34-3.45
Ho 0.3397 0.5540 0.6793  3 Al 3.10-3.20, 1 In 3.34, 5 Ho 3.34-3.45
Ho 0.1460 0.1460 0.2919  2 In 3.27, 8 Ho 3.34-3.45, 2 Al 3.41
Ho 0.0000 0.3104 0.0000  7 Ho 3.16-3.42, 2 Al 3.24
Al 0.8063 0.3063 0.6126  10 Ho 3.10-3.41
Ho 0.8540 0.8540 0.7081  2 In 3.27, 8 Ho 3.34-3.45, 2 Al 3.41
Ho 0.6603 0.4460 0.3207  3 Al 3.10-3.20, 1 In 3.34, 5 Ho 3.34-3.45
In 0.5000 0.0000 0.0000  12 Ho 3.27-3.59
Al 0.1937 0.6937 0.3874  10 Ho 3.10-3.41
Ho 0.6603 0.8747 0.3207  3 Al 3.10-3.20, 1 In 3.34, 5 Ho 3.34-3.45


# 5
A plane-wave DFT calculation with PBE was carried out for a relaxed structure of Pm5Pr3Er3.

Summary:
Energy relative to the lowest polymorph listed for this composition = 0.4786 eV/atom
Formation energy = 0.73 eV/atom
Space group = No. 189

Lattice parameters (Å, degrees): 5.6162 9.7518 9.7518 120.00 90.00 90.00
Closest atoms and distances in Å follow each position.
Fractional coordinates of all 11 atoms:
Pr 0.0000 0.4237 0.4237  2 Pm 3.18, 2 Er 3.46
Pm 0.5000 0.2703 0.2703  2 Pr 3.18, 3 Er 3.22-3.52
Er 0.5000 0.3685 0.0000  4 Pm 3.09-3.22, 2 Pr 3.46
Pm 0.5000 0.0000 0.7297  2 Pr 3.18, 3 Er 3.22-3.52
Pr 0.0000 0.0000 0.5763  2 Pm 3.18, 2 Er 3.46
Er 0.5000 0.6315 0.6315  4 Pm 3.09-3.22, 2 Pr 3.46
Pr 0.0000 0.5763 0.0000  2 Pm 3.18, 2 Er 3.46
Er 0.5000 0.0000 0.3685  4 Pm 3.09-3.22, 2 Pr 3.46
Pm 0.5000 0.3333 0.6667  3 Er 3.09
Pm 0.5000 0.6667 0.3333  3 Er 3.09
Pm 0.5000 0.7297 0.0000  2 Pr 3.18, 3 Er 3.22-3.52


# 6
A plane-wave DFT calculation with PBE was carried out for a relaxed structure of Ac4La6Pr.

Summary:
Formation energy = 0.21 eV/atom
Space group = No. 121

Lattice parameters (Å, degrees): 9.9049 9.9049 9.9049 61.92 137.34 137.34
Closest atoms and distances in Å follow each position.
Fractional coordinates of all 11 atoms:
Pr 0.0000 0.0000 0.0000  8 La 3.60-3.90, 4 Ac 3.66
La 0.0000 0.7636 0.4456  3 La 3.24, 1 Ac 3.61
La 0.0000 0.4456 0.7636  3 La 3.24, 1 Ac 3.61
La 0.5000 0.0000 0.5000  4 La 3.24, 2 Pr 3.60
Ac 0.6249 0.9961 0.9961  3 La 3.61-3.82, 1 Pr 3.66, 1 Ac 3.82
Ac 0.3751 0.3712 0.3712  3 La 3.61-3.82, 1 Pr 3.66, 1 Ac 3.82
La 0.5000 0.5000 0.0000  4 La 3.24, 2 Pr 3.60
Ac 0.0000 0.0039 0.6288  3 La 3.61-3.82, 1 Pr 3.66, 1 Ac 3.82
La 0.3180 0.5544 0.5544  3 La 3.24, 1 Ac 3.61
La 0.6820 0.2364 0.2364  3 La 3.24, 1 Ac 3.61
Ac 0.0000 0.6288 0.0039  3 La 3.61-3.82, 1 Pr 3.66, 1 Ac 3.82


# 7
A plane-wave DFT calculation with PBE was carried out for a relaxed structure of MnIn5Br8.

Summary:
Space group = No. 119

Lattice parameters (Å, degrees): 9.1279 9.1279 9.1279 119.96 119.96 90.06
Closest atoms and distances in Å follow each position.
Fractional coordinates of all 14 atoms:
Br 0.1255 0.3751 0.7497  1 In 2.79
Br 0.1377 0.8621 0.2761  1 Mn 2.50
Br 0.6249 0.3745 0.7504  1 In 2.79
Br 0.5860 0.8616 0.7239  1 Mn 2.50
Mn 0.2500 0.7500 0.5000  4 Br 2.50
Br 0.6255 0.3759 0.2503  1 In 2.79
In 0.8795 0.6371 0.7578  6 Br 3.28-3.36
In 0.8784 0.1205 0.7576  6 Br 3.28-3.36
Br 0.1384 0.8623 0.7244  1 Mn 2.50
Br 0.6241 0.8745 0.2496  1 In 2.79
Br 0.1379 0.4140 0.2756  1 Mn 2.50
In 0.3629 0.1208 0.2424  6 Br 3.28-3.36
In 0.5000 0.5000 0.0000  4 Br 2.79
In 0.8792 0.1216 0.2422  6 Br 3.28-3.36


# 8
A plane-wave DFT calculation with PBE was carried out for a relaxed structure of Y2CdAs.

Summary:
Energy relative to the lowest polymorph listed for this composition = 0.5160 eV/atom
Formation energy = -0.33 eV/atom
Space group = No. 160

Lattice parameters (Å, degrees): 8.5852 8.5852 8.5852 27.19 27.19 27.19
Closest atoms and distances in Å follow each position.
Fractional coordinates of all 4 atoms:
Y 0.0108 0.0108 0.0108  3 Cd 3.24
Cd 0.7684 0.7684 0.7684  3 As 2.77
Y 0.2256 0.2256 0.2256  3 As 2.82
As 0.4952 0.4952 0.4952  3 Cd 2.77, 3 Y 2.82


# 9
A plane-wave DFT calculation with PBE was carried out for a relaxed structure of Th4Te2RuPb.

Summary:
Space group = No. 10

Lattice parameters (Å, degrees): 4.2834 7.8728 7.8650 107.70 90.00 90.00
Closest atoms and distances in Å follow each position.
Fractional coordinates of all 8 atoms:
Th 0.5000 0.2709 0.2267  1 Ru 2.90, 2 Pb 3.16, 2 Te 3.18
Ru 0.5000 0.5000 0.0000  6 Th 2.87-2.90
Th 0.0000 0.7069 0.2038  2 Ru 2.87, 1 Pb 3.18
Te 0.0000 0.5000 0.5000  6 Th 3.18-3.22
Th 0.0000 0.2931 0.7962  2 Ru 2.87, 1 Pb 3.18
Th 0.5000 0.7291 0.7733  1 Ru 2.90, 2 Pb 3.16, 2 Te 3.18
Pb 0.0000 0.0000 0.0000  6 Th 3.16-3.18
Te 0.5000 0.0000 0.5000  6 Th 3.46-3.47


# 10
A plane-wave DFT calculation with PBE was carried out for a relaxed structure of Sm2Y6HoEr.

Summary:
Formation energy = 0.11 eV/atom
Space group = No. 15

Lattice parameters (Å, degrees): 9.7146 8.7738 8.7738 117.78 94.82 94.82
Closest atoms and distances in Å follow each position.
Fractional coordinates of all 20 atoms:
Y 0.8815 0.2930 0.5021  3 Sm 3.25-3.44, 4 Y 3.27-3.55, 2 Er 3.42-3.55
Y 0.0566 0.1238 0.7490  7 Y 3.42-3.78, 1 Sm 3.49, 1 Ho 3.63, 1 Er 3.80
Y 0.8142 0.4256 0.9819  3 Y 3.27-3.66, 1 Sm 3.39, 1 Er 3.45, 1 Ho 3.56
Sm 0.4554 0.8053 0.7041  5 Y 3.25-3.49, 2 Ho 3.36-3.39, 1 Er 3.53
Er 0.7500 0.5929 0.4071  8 Y 3.42-3.80, 2 Sm 3.53
Y 0.6858 0.0181 0.5744  3 Y 3.27-3.66, 1 Sm 3.39, 1 Er 3.45, 1 Ho 3.56
Ho 0.7500 0.0198 0.9802  4 Sm 3.36-3.39, 4 Y 3.56-3.63
Sm 0.9554 0.7041 0.8053  5 Y 3.25-3.49, 2 Ho 3.36-3.39, 1 Er 3.53
Y 0.1858 0.5744 0.0181  3 Y 3.27-3.66, 1 Sm 3.39, 1 Er 3.45, 1 Ho 3.56
Y 0.6185 0.4979 0.7070  3 Sm 3.25-3.44, 4 Y 3.27-3.55, 2 Er 3.42-3.55
Ho 0.2500 0.9802 0.0198  4 Sm 3.36-3.39, 4 Y 3.56-3.63
Y 0.9434 0.8762 0.2510  7 Y 3.42-3.78, 1 Sm 3.49, 1 Ho 3.63, 1 Er 3.80
Y 0.5566 0.7490 0.1238  7 Y 3.42-3.78, 1 Sm 3.49, 1 Ho 3.63, 1 Er 3.80
Y 0.3142 0.9819 0.4256  3 Y 3.27-3.66, 1 Sm 3.39, 1 Er 3.45, 1 Ho 3.56
Sm 0.5446 0.1947 0.2959  5 Y 3.25-3.49, 2 Ho 3.36-3.39, 1 Er 3.53
Y 0.3815 0.5021 0.2930  3 Sm 3.25-3.44, 4 Y 3.27-3.55, 2 Er 3.42-3.55
Y 0.4434 0.2510 0.8762  7 Y 3.42-3.78, 1 Sm 3.49, 1 Ho 3.63, 1 Er 3.80
Er 0.2500 0.4071 0.5929  8 Y 3.42-3.80, 2 Sm 3.53
Y 0.1185 0.7070 0.4979  3 Sm 3.25-3.44, 4 Y 3.27-3.55, 2 Er 3.42-3.55
Sm 0.0446 0.2959 0.1947  5 Y 3.25-3.49, 2 Ho 3.36-3.39, 1 Er 3.53


For each record above, in turn, the calculated density of states at the Fermi level values are 17.02 2.56 4.24 12.72 18.39 19.00 4.45 2.30 6.43 14.27 states/eV/f.u..
For each record above, in turn, the calculated VASP energy values are -7.59 -5.88 -1.49 -4.44 -3.98 -4.41 -3.25 -4.95 -6.85 -5.62 eV/atom.